Computed, not measured: CrWF2 after structural relaxation at the PBE+U level of DFT.

Properties
* energy relative to the lowest polymorph listed for this composition: 423.5 meV/atom

Unit cell a=5.2253 b=5.2253 c=9.8334 alpha=90.00 beta=90.00 gamma=90.00
Space group I-42d (No. 122)
Asymmetric unit:
Cr1 0.0000 0.0000 0.0000 x4
W1 0.0000 0.0000 0.5000 x4
F1 0.2458 0.2500 0.1250 x8